No. 1
A relaxed structure of ZrCdB, computed with PBE.

Lattice parameters (Å, degrees): 11.233 11.233 11.233 16.44 16.44 16.44
Element x y z (fractional)
1 Zr 0.000 0.000 0.000
2 Zr 0.102 0.102 0.102
3 Cd 0.256 0.256 0.256
4 Cd 0.512 0.512 0.512
5 B 0.384 0.384 0.384
6 B 0.718 0.718 0.718

Values from the calculation:
Its total magnetic moment is 0.00 μB/cell. The distance to the lowest polymorph of the same formula is 0.0 meV/atom. As for the energy of formation: -543 meV per atom.

No. 2
A relaxed structure of TaHI2, computed with PBE.

Lattice parameters (Å, degrees): 3.528 3.528 8.465 90.29 90.29 59.97
Element x y z (fractional)
1 Ta 0.000 0.000 0.000
2 H 0.333 0.333 0.931
3 I 0.335 0.335 0.240
4 I 0.997 0.997 0.685

Values from the calculation:
The total energy comes out at -4.550 eV per atom. Its total magnetic moment is 0.00 μB/cell.

No. 3
A relaxed structure of K4Pm3TiS8, computed with PBE.

Lattice parameters (Å, degrees): 8.733 8.733 8.733 55.30 55.30 55.30
Element x y z (fractional)
1 K 0.000 0.000 0.000
2 K 0.000 0.500 0.500
3 K 0.500 0.000 0.500
4 K 0.500 0.500 0.000
5 Pm 0.000 0.000 0.500
6 Pm 0.000 0.500 0.000
7 Pm 0.500 0.000 0.000
8 Ti 0.500 0.500 0.500
9 S 0.237 0.237 0.237
10 S 0.257 0.721 0.721
11 S 0.279 0.279 0.743
12 S 0.279 0.743 0.279
13 S 0.721 0.257 0.721
14 S 0.721 0.721 0.257
15 S 0.743 0.279 0.279
16 S 0.763 0.763 0.763

Values from the calculation:
Its total magnetic moment is 1.00 μB/cell. The uncorrected formation energy comes out at -1682 meV/atom.

No. 4
A relaxed structure of InCuOs2, computed with PBE.

Lattice parameters (Å, degrees): 2.783 2.783 9.142 90.00 90.00 118.07
Element x y z (fractional)
1 In 0.000 0.000 0.000
2 Cu 0.000 0.000 0.500
3 Os 0.500 0.500 0.265
4 Os 0.500 0.500 0.735

Values from the calculation:
Its total magnetic moment is 0.00 μB/cell. As for the energy of formation: 735 meV per atom.

No. 5
A relaxed structure of CsKCd2Bi, computed with PBE.

Lattice parameters (Å, degrees): 6.119 6.119 7.211 90.00 90.00 90.00
Element x y z (fractional)
1 Cs 0.000 0.000 0.000
2 K 0.500 0.500 0.000
3 Cd 0.000 0.500 0.500
4 Cd 0.500 0.000 0.500
5 Bi 0.000 0.000 0.500

Values from the calculation:
Its total magnetic moment is 0.00 μB/cell. The distance to the lowest polymorph of the same formula is 255.0 meV/atom. As for the energy of formation: 91 meV per atom.

No. 6
A relaxed structure of CdFe4Se, computed with PBE.

Lattice parameters (Å, degrees): 5.012 5.012 5.012 60.00 60.00 60.00
Element x y z (fractional)
1 Cd 0.000 0.000 0.000
2 Fe 0.121 0.626 0.626
3 Fe 0.626 0.121 0.626
4 Fe 0.626 0.626 0.121
5 Fe 0.626 0.626 0.626
6 Se 0.250 0.250 0.250

Values from the calculation:
Its total magnetic moment is 10.40 μB/cell. The uncorrected formation energy comes out at 357 meV/atom.

No. 7
A relaxed structure of IrW, computed with PBE.

Lattice parameters (Å, degrees): 6.956 6.956 6.956 90.00 90.00 90.00
Element x y z (fractional)
1 Ir 0.000 0.250 0.500
2 Ir 0.000 0.750 0.500
3 Ir 0.250 0.500 0.000
4 Ir 0.500 0.000 0.250
5 Ir 0.500 0.000 0.750
6 Ir 0.750 0.500 0.000
7 W 0.000 0.500 0.250
8 W 0.000 0.500 0.750
9 W 0.250 0.000 0.500
10 W 0.500 0.250 0.000
11 W 0.500 0.750 0.000
12 W 0.750 0.000 0.500

Values from the calculation:
Its total magnetic moment is 0.00 μB/cell. The distance to the lowest polymorph of the same formula is 1611.6 meV/atom. As for the energy of formation: 1311 meV per atom.

No. 8
A relaxed structure of Nd4NpO10, computed with PBE.

Lattice parameters (Å, degrees): 6.775 6.775 6.775 99.61 99.61 131.77
Element x y z (fractional)
1 Nd 0.099 0.302 0.401
2 Nd 0.302 0.901 0.203
3 Nd 0.698 0.099 0.797
4 Nd 0.901 0.698 0.599
5 Np 0.500 0.500 0.000
6 O 0.090 0.177 0.724
7 O 0.177 0.453 0.087
8 O 0.250 0.750 0.500
9 O 0.366 0.090 0.913
10 O 0.453 0.366 0.276
11 O 0.547 0.634 0.724
12 O 0.634 0.910 0.087
13 O 0.750 0.250 0.500
14 O 0.823 0.547 0.913
15 O 0.910 0.823 0.276

Values from the calculation:
Its total magnetic moment is 0.90 μB/cell. The uncorrected formation energy comes out at -3006 meV/atom.